Tb2Er3Sc: optimized geometry, PBE-GGA.

a b c (Å): 6.035 6.971 9.214
angles (deg): 112.23 89.89 90.00
Positions (direct):
Tb 0.585 0.539 0.330
Tb 0.085 0.791 0.330
Tb 0.915 0.209 0.670
Tb 0.415 0.461 0.670
Er 0.250 0.372 0.000
Er 0.750 0.628 0.000
Er 0.080 0.287 0.327
Er 0.420 0.960 0.673
Er 0.580 0.040 0.327
Er 0.920 0.713 0.673
Sc 0.750 0.123 0.000
Sc 0.250 0.877 0.000

Calculated values
- volume (Å³ per atom) = 29.90
- magnetic moment (Bohr magnetons per cell) = 0.0
- ΔH_f (0 K) (eV/atom) = 0.04
- crystal system = monoclinic
- density (Mg/m³) = 8.002

---

CaMgTlHg2: optimized geometry, PBE-GGA.

a b c (Å): 5.327 5.411 5.327
angles (deg): 90.00 90.00 90.00
Positions (direct):
Mg 0.000 0.000 0.000
Tl 0.000 0.500 0.000
Ca 0.500 0.500 0.500
Hg 0.000 0.000 0.500
Hg 0.500 0.000 0.000

Calculated values
- volume (Å³ per atom) = 30.71
- magnetic moment (Bohr magnetons per cell) = 0.0
- ΔH_f (0 K) (eV/atom) = -0.02
- crystal system = tetragonal
- density (Mg/m³) = 7.245